Entry 1:
A plane-wave DFT calculation with GGA-PBE was carried out for an optimized crystal structure of Na2HoErS4.

The structure in POSCAR format:
```
Na2HoErS4
1.0
6.854 0.000 0.000
0.000 3.958 0.000
-2.282 0.000 6.678
Na Ho Er S
2 1 1 4
direct
0.000 0.000 0.000
0.500 0.500 0.000
0.000 0.500 0.500
0.500 0.000 0.500
0.243 0.000 0.726
0.259 0.500 0.275
0.741 0.500 0.725
0.757 0.000 0.274
```

* SG: P2/m, No. 10
* total magnetization: 0.00 Bohr magnetons per cell
* formation energy (no corrections): -14.83 eV/f.u.
* total energy: -5.39 eV per atom

Entry 2:
A plane-wave DFT calculation with GGA-PBE was carried out for an optimized crystal structure of MoP2Pd.

The structure in POSCAR format:
```
MoP2Pd
1.0
3.015 0.000 0.000
-1.508 2.611 0.000
0.000 0.000 22.617
Mo P Pd
3 6 3
direct
0.000 0.000 0.000
0.333 0.667 0.667
0.667 0.333 0.333
0.000 0.000 0.255
0.000 0.000 0.745
0.333 0.667 0.412
0.333 0.667 0.921
0.667 0.333 0.079
0.667 0.333 0.588
0.000 0.000 0.500
0.333 0.667 0.167
0.667 0.333 0.833
```

* SG: R-3m, No. 166
* total magnetization: 0.00 Bohr magnetons per cell
* total energy: -6.92 eV per atom
* energy of formation from the pure elements: -0.211 eV/atom